A plane-wave DFT calculation with PBE-GGA was carried out for a relaxed Nd3Sm4Tm8 crystal.

a = 13.378 Å, b = 12.847 Å, c = 6.730 Å
α = 90.00°, β = 120.16°, γ = 90.00°
Space group C2/m (No. 12)
One atom of each set of equivalent atoms:
Nd 0.000 0.000 0.000 x2
Nd 0.250 0.250 0.000 x4
Sm 0.000 0.500 0.000 x2
Sm 0.000 0.500 0.500 x2
Sm 0.250 0.250 0.500 x4
Tm 0.000 0.138 0.500 x4
Tm 0.000 0.245 0.000 x4
Tm 0.233 0.000 0.494 x4
Tm 0.233 0.000 0.972 x4

Summary:
energy of formation from the pure elements	0.375	eV per atom
volume	1000	Å³/cell

A plane-wave DFT calculation with PBE-GGA was carried out for a relaxed ErNi2Pd crystal.

a = 6.266 Å, b = 6.266 Å, c = 6.266 Å
α = 90.00°, β = 90.00°, γ = 90.00°
Space group Fm-3m (No. 225)
One atom of each set of equivalent atoms:
Er 0.000 0.000 0.000 x4
Ni 0.250 0.250 0.250 x8
Pd 0.000 0.000 0.500 x4

Summary:
energy of formation from the pure elements	-0.355	eV per atom
volume	246	Å³/cell

A plane-wave DFT calculation with PBE-GGA was carried out for a relaxed TcI2Cl3 crystal.

a = 15.535 Å, b = 12.174 Å, c = 3.038 Å
α = 90.00°, β = 101.23°, γ = 90.00°
Space group Cm (No. 8)
One atom of each set of equivalent atoms:
Tc 0.000 0.000 0.000 x2
I 0.355 0.190 0.857 x4
Cl 0.095 0.137 0.095 x4
Cl 0.382 0.500 0.383 x2

Summary:
volume	564	Å³/cell
ΔE_f (raw)	-0.12	eV per atom